(1)
A plane-wave DFT calculation with PBE was carried out for a relaxed structure of MnB3Au.

Results
* ΔH_f (0 K): 1.87 eV/atom
* D(E_F): 2.20 states/eV/f.u.

abc: 4.1781 4.1781 4.1781
angles: 90.00 90.00 90.00
Closest atoms and distances in Å follow each position.
Sites, in units of the cell vectors:
B1 0.0000 0.5000 0.0000  2 Au 2.09
B2 0.0000 0.0000 0.5000  2 Au 2.09
B3 0.5000 0.0000 0.0000  2 Au 2.09
Mn1 0.5000 0.5000 0.5000  12 B 2.95
Au1 0.0000 0.0000 0.0000  6 B 2.09

=====

(2)
A plane-wave DFT calculation with PBE was carried out for a relaxed structure of Li2YCd.

Results
* ΔH_f (0 K): 0.02 eV/atom
* D(E_F): 1.95 states/eV/f.u.

abc: 10.5802 10.5802 10.5802
angles: 17.78 17.78 17.78
Closest atoms and distances in Å follow each position.
Sites, in units of the cell vectors:
Cd1 0.7500 0.7500 0.7500  6 Li 3.05, 6 Cd 3.27
Li1 0.0067 0.0067 0.0067  3 Cd 3.05, 6 Li 3.27, 3 Y 3.39
Li2 0.4933 0.4933 0.4933  3 Cd 3.05, 6 Li 3.27, 3 Y 3.39
Y1 0.2500 0.2500 0.2500  6 Y 3.27, 6 Li 3.39

=====

Across the entries above, V takes the values 73; 96 Å³ per cell, respectively.
Across the entries above, excess energy over the best structure of this formula in the dataset takes the values 774; 130 meV per atom, respectively.